Entry 1:
8
Lattice="7.8083 0.0000 0.0000 0.0000 7.8083 0.0000 3.9041 3.9041 3.7613" Properties=species:S:1:pos:R:3 comment="Ca2ReBr GGA-PBE optimized geometry" magnetic_moment_mub_per_fu=2.0 space_group="No. 122" raw_formation_energy_kj_per_mol_atoms=48.52 pbc="T T T"
Ca 1.9571 5.8562 0.9403
Ca 5.8512 1.9521 0.9403
Ca 9.7604 9.7553 2.8210
Ca 5.8562 5.8613 2.8210
Re 7.8083 3.9041 1.8807
Re 0.0000 0.0000 0.0000
Br 3.9041 7.8083 1.8807
Br 3.9041 3.9041 0.0000

Entry 2:
7
Lattice="5.0069 0.0000 0.0000 2.5035 4.3361 0.0000 2.5035 1.4454 8.9420" Properties=species:S:1:pos:R:3 comment="SmY2Tl2Hg2 GGA-PBE optimized geometry" magnetic_moment_mub_per_fu=0.0 formation_enthalpy_0k_kj_per_mol_fu=-144.3 space_group="No. 166" pbc="T T T"
Tl 7.5104 4.3361 7.2927
Tl 2.5035 1.4454 1.6493
Y 2.5035 1.4454 5.3782
Y 7.5104 4.3361 3.5638
Hg 5.0069 2.8907 6.1983
Hg 5.0069 2.8907 2.7437
Sm 0.0000 0.0000 0.0000

Entry 3:
5
Lattice="5.1259 0.0000 0.0000 0.0000 5.1259 0.0000 0.0000 0.0000 4.0235" Properties=species:S:1:pos:R:3 comment="Ca2ReTeC GGA-PBE optimized geometry" magnetic_moment_mub_per_fu=0.2 space_group="No. 123" raw_formation_energy_kj_per_mol_atoms=-18.45 pbc="T T T"
Ca 0.0000 2.5629 0.0000
Ca 2.5629 0.0000 0.0000
Te 2.5629 2.5629 2.0118
C 0.0000 0.0000 0.0000
Re 0.0000 0.0000 2.0118

Entry 4:
4
Lattice="-3.0553 -0.5514 3.4002 -2.0325 3.6753 1.8872 -4.4679 0.8069 -0.7663" Properties=species:S:1:pos:R:3 comment="YNiS2 GGA-PBE optimized geometry" magnetic_moment_mub_per_fu=1.0 space_group="No. 225" raw_formation_energy_kj_per_mol_atoms=-82.37 pbc="T T T"
Y -4.7778 1.9654 2.2605
S -2.3889 0.9827 1.1303
S -7.1668 2.9481 3.3908
Ni 0.0000 0.0000 0.0000

Entry 5:
4
Lattice="-1.6756 -3.4109 -3.1900 4.0635 -1.3195 2.5229 -1.0935 -2.0525 1.8499" Properties=species:S:1:pos:R:3 comment="BeMo2Br GGA-PBE optimized geometry" magnetic_moment_mub_per_fu=0.0 space_group="No. 12" raw_formation_energy_kj_per_mol_atoms=89.21 pbc="T T T"
Br 1.4850 -1.6860 2.1864
Mo 1.1940 -2.3652 -0.3336
Mo 0.0000 0.0000 0.0000
Be -1.3845 -2.7317 -0.6701

Entry 6:
4
Lattice="3.0789 0.0092 0.0000 -0.0079 3.0789 0.0000 0.0000 0.0000 6.4302" Properties=species:S:1:pos:R:3 comment="ZrZn2Co GGA-PBE optimized geometry" magnetic_moment_mub_per_fu=0.9 formation_enthalpy_0k_kj_per_mol_fu=-37.6 space_group="No. 123" pbc="T T T"
Zn 0.0000 0.0000 3.5348
Zn 0.0000 0.0000 6.1104
Zr 1.5355 1.5440 1.6075
Co 1.5355 1.5440 4.8226

Entry 7:
5
Lattice="-4.1380 -1.7878 -2.2649 2.6588 -0.8239 -4.2073 1.1211 -4.6448 1.6181" Properties=species:S:1:pos:R:3 comment="Nb3SbAs GGA-PBE optimized geometry" magnetic_moment_mub_per_fu=0.9 space_group="No. 221" raw_formation_energy_kj_per_mol_atoms=150.96 pbc="T T T"
Nb 0.5606 -2.3224 0.8090
Nb -2.0690 -0.8939 -1.1324
Nb 1.3294 -0.4120 -2.1037
Sb 0.0000 0.0000 0.0000
As -0.1791 -3.6283 -2.4271

Entry 8:
16
Lattice="-2.5358 5.4086 -2.2069 -4.0976 -0.9449 -6.7954 -11.9314 0.4561 5.6392" Properties=species:S:1:pos:R:3 comment="Cs2NpAuS4 GGA-PBE optimized geometry" magnetic_moment_mub_per_fu=2.0 space_group="No. 70" raw_formation_energy_kj_per_mol_atoms=-80.87 pbc="T T T"
S -12.0707 1.2771 3.2813
S -6.3801 0.6942 -0.0917
S -5.2086 0.9007 -5.5256
S -9.7771 2.9910 0.1246
S -12.1671 4.1878 -3.2561
S -8.8054 1.9664 -3.5031
S -16.3141 4.5439 -2.3403
S -3.5363 3.1178 -2.1416
Np 0.0000 0.0000 0.0000
Np -9.9163 3.8120 -2.2333
Cs -6.3665 4.6010 0.2153
Cs -8.1007 1.2637 3.2170
Cs -6.0856 4.6196 -4.6555
Cs -13.7470 3.0044 0.1889
Au -8.6485 1.1077 -1.1298
Au -1.2679 2.7043 -1.1035